ReSn2Au: optimized geometry, GGA-PBE.

Cell and atoms, written as POSCAR:
```
ReSn2Au
1.0
0.0000 3.3977 3.3977
3.3977 0.0000 3.3977
3.3977 3.3977 0.0000
Re Sn Au
1 2 1
direct
0.0000 0.0000 0.0000 Re
0.2500 0.2500 0.2500 Sn
0.7500 0.7500 0.7500 Sn
0.5000 0.5000 0.5000 Au
```

Properties
* uncorrected energy: -5.340 eV/atom
* E above lowest polymorph: 0.00 eV per formula unit
* space-group type: Fm-3m (225)
* calculated formation energy: 2.37 eV/f.u.